## P
{"formula": "Pu", "functional": "PBE", "state": "relaxed", "lattice": [[-5.856, 5.856, 5.856], [5.856, -5.856, 5.856], [5.856, 5.856, -5.856]], "species": ["Pu", "Pu", "Pu", "Pu", "Pu", "Pu", "Pu", "Pu", "Pu", "Pu", "Pu", "Pu", "Pu", "Pu", "Pu", "Pu", "Pu", "Pu", "Pu", "Pu", "Pu", "Pu", "Pu", "Pu", "Pu", "Pu", "Pu", "Pu", "Pu"], "fractional_positions": [[0.000, 0.000, 0.000], [0.000, 0.000, 0.360], [0.000, 0.316, 0.593], [0.000, 0.360, 0.000], [0.000, 0.593, 0.316], [0.000, 0.623, 0.808], [0.000, 0.808, 0.623], [0.185, 0.377, 0.377], [0.192, 0.192, 0.815], [0.192, 0.815, 0.192], [0.277, 0.684, 0.684], [0.316, 0.000, 0.593], [0.316, 0.593, 0.000], [0.360, 0.000, 0.000], [0.377, 0.185, 0.377], [0.377, 0.377, 0.185], [0.407, 0.407, 0.723], [0.407, 0.723, 0.407], [0.593, 0.000, 0.316], [0.593, 0.316, 0.000], [0.623, 0.000, 0.808], [0.623, 0.808, 0.000], [0.640, 0.640, 0.640], [0.684, 0.277, 0.684], [0.684, 0.684, 0.277], [0.723, 0.407, 0.407], [0.808, 0.000, 0.623], [0.808, 0.623, 0.000], [0.815, 0.192, 0.192]], "space_group": "No. 217", "volume_a3_per_cell": 803.3, "rho_g_cm3": 14.63}

---

## Q
{"formula": "Pu", "functional": "PBE", "state": "relaxed", "lattice": [[2.116, -4.669, 0.000], [2.116, 4.669, 0.000], [0.000, 0.000, 3.781]], "species": ["Pu", "Pu", "Pu", "Pu"], "fractional_positions": [[0.121, 0.879, 0.895], [0.379, 0.621, 0.395], [0.621, 0.379, 0.605], [0.879, 0.121, 0.105]], "space_group": "No. 64", "volume_a3_per_cell": 74.7, "rho_g_cm3": 21.70}

---

Which one sits at the bottom of the stability order? P does.